Entry 1:
# PaMn2N | the Alexandria database | PBE | relaxed
data_PaMn2N
_chemical_formula_sum 'Pa3 Mn6 N3'
_cell_length_a 3.014
_cell_length_b 3.014
_cell_length_c 20.579
_cell_angle_alpha 90.00
_cell_angle_beta 90.00
_cell_angle_gamma 120.00
_space_group_name_H-M_alt 'P 1'
_space_group_IT_number 1
loop_
_space_group_symop_operation_xyz
'x,y,z'
loop_
_atom_site_label
_atom_site_type_symbol
_atom_site_fract_x
_atom_site_fract_y
_atom_site_fract_z
Pa1 Pa 0.000 0.000 0.000
Pa2 Pa 0.333 0.667 0.667
Pa3 Pa 0.667 0.333 0.333
Mn1 Mn 0.000 0.000 0.120
Mn2 Mn 0.000 0.000 0.880
Mn3 Mn 0.333 0.667 0.546
Mn4 Mn 0.333 0.667 0.787
Mn5 Mn 0.667 0.333 0.213
Mn6 Mn 0.667 0.333 0.454
N1 N 0.000 0.000 0.500
N2 N 0.333 0.667 0.167
N3 N 0.667 0.333 0.833
# Formation energy without anion corrections = 49 kJ/mol of formula units
# Symmetry = No. 166
# Volume = 13.49 A^3/atom
# E = -8.91 eV/atom

***

Entry 2:
# CePrDy | the Alexandria database | PBE | relaxed
data_CePrDy
_chemical_formula_sum 'Ce1 Pr1 Dy1'
_cell_length_a 3.561
_cell_length_b 3.561
_cell_length_c 8.778
_cell_angle_alpha 90.00
_cell_angle_beta 90.00
_cell_angle_gamma 120.00
_space_group_name_H-M_alt 'P 1'
_space_group_IT_number 1
loop_
_space_group_symop_operation_xyz
'x,y,z'
loop_
_atom_site_label
_atom_site_type_symbol
_atom_site_fract_x
_atom_site_fract_y
_atom_site_fract_z
Ce1 Ce 0.000 0.000 0.000
Pr1 Pr 0.667 0.333 0.332
Dy1 Dy 0.333 0.667 0.680
# DFT formation energy = 0.2 eV per formula unit
# Symmetry = No. 156
# Volume = 32.13 A^3/atom
# E = -5.03 eV/atom

***

Entry 3:
# Sm2Al3Pt5 | the Alexandria database | PBE | relaxed
data_Sm2Al3Pt5
_chemical_formula_sum 'Sm4 Al6 Pt10'
_cell_length_a 12.776
_cell_length_b 12.776
_cell_length_c 6.840
_cell_angle_alpha 90.00
_cell_angle_beta 90.00
_cell_angle_gamma 161.06
_space_group_name_H-M_alt 'P 1'
_space_group_IT_number 1
loop_
_space_group_symop_operation_xyz
'x,y,z'
loop_
_atom_site_label
_atom_site_type_symbol
_atom_site_fract_x
_atom_site_fract_y
_atom_site_fract_z
Sm1 Sm 0.025 0.975 0.500
Sm2 Sm 0.323 0.677 0.552
Sm3 Sm 0.677 0.323 0.052
Sm4 Sm 0.975 0.025 0.000
Al1 Al 0.128 0.872 0.720
Al2 Al 0.285 0.715 0.096
Al3 Al 0.454 0.546 0.686
Al4 Al 0.546 0.454 0.186
Al5 Al 0.715 0.285 0.596
Al6 Al 0.872 0.128 0.220
Pt1 Pt 0.098 0.902 0.136
Pt2 Pt 0.196 0.804 0.372
Pt3 Pt 0.226 0.774 0.798
Pt4 Pt 0.382 0.618 0.967
Pt5 Pt 0.446 0.554 0.315
Pt6 Pt 0.554 0.446 0.815
Pt7 Pt 0.618 0.382 0.467
Pt8 Pt 0.774 0.226 0.298
Pt9 Pt 0.804 0.196 0.872
Pt10 Pt 0.902 0.098 0.636
# DFT formation energy = -10.6 eV per formula unit
# Symmetry = No. 36
# Volume = 18.12 A^3/atom
# E = -6.14 eV/atom